No. 1
A plane-wave DFT calculation with PBE was carried out for Cr2PtPb after structural relaxation.

Results
Space-group type: I-42d, No. 122
Size of the total moment (μB per formula unit): 0.000
Total energy (eV for the cell shown): -50.9

Cell and atoms, written as POSCAR:
```
Cr2PtPb
1.0
-0.7606 0.1301 7.1162
-6.7027 -2.4201 -0.6722
-2.8165 -3.7198 3.3669
Pb Cr Pt
2 4 2
Direct
0.0000 0.0000 0.0000
0.7500 0.2500 0.5000
0.5963 0.1250 0.2500
0.1537 0.6250 0.2500
0.3750 0.4037 0.7500
0.8750 0.8463 0.7500
0.5000 0.5000 0.0000
0.2500 0.7500 0.5000
```



No. 2
A plane-wave DFT calculation with PBE was carried out for Zr2Al2Ru3 after structural relaxation.

Results
Space-group type: P-1, No. 2
Size of the total moment (μB per formula unit): 0.000
Total energy (eV for the cell shown): -56.5

Cell and atoms, written as POSCAR:
```
Zr2Al2Ru3
1.0
4.2626 -0.0755 -1.6352
-2.3396 3.8847 -0.0068
-0.9358 -0.5535 7.6126
Zr Al Ru
2 2 3
Direct
0.8317 0.4159 0.1618
0.1683 0.5841 0.8382
0.4014 0.2004 0.3903
0.5986 0.7996 0.6097
0.0000 0.0000 0.0000
0.3764 0.1882 0.7169
0.6236 0.8118 0.2831
```



No. 3
A plane-wave DFT calculation with PBE was carried out for DyHoZnRu after structural relaxation.

Results
Space-group type: F-43m, No. 216
Size of the total moment (μB per formula unit): 0.000
Total energy (eV for the cell shown): -21.2

Cell and atoms, written as POSCAR:
```
DyHoZnRu
1.0
-0.1005 1.8998 4.5179
2.3636 -2.2499 3.6581
4.0459 2.0078 1.9052
Ru Zn Ho Dy
1 1 1 1
Direct
0.7500 0.7500 0.7500
0.2500 0.2500 0.2500
0.0000 0.0000 0.0000
0.5000 0.5000 0.5000
```



No. 4
A plane-wave DFT calculation with PBE was carried out for Sc2CuNiIr after structural relaxation.

Results
Space-group type: P4/mmm, No. 123
Size of the total moment (μB per formula unit): 0.000
Total energy (eV for the cell shown): -28.7

Cell and atoms, written as POSCAR:
```
Sc2CuNiIr
1.0
-4.3695 1.0189 -1.5061
0.1843 -3.4380 -2.8607
-1.8079 -2.8544 3.3140
Sc Ni Ir Cu
2 1 1 1
Direct
0.0000 0.0000 0.5000
0.5000 0.0000 0.0000
0.5000 0.5000 0.5000
0.0000 0.5000 0.0000
0.0000 0.0000 0.0000
```



No. 5
A plane-wave DFT calculation with PBE was carried out for Tb3Y4Mg after structural relaxation.

Results
Energy above the most stable polymorph in this dataset (eV per formula unit): 0.00
Space-group type: Pmn2_1, No. 31
Size of the total moment (μB per formula unit): 0.000
Total energy (eV for the cell shown): -82.7

Cell and atoms, written as POSCAR:
```
Tb3Y4Mg
1.0
-2.8849 3.1116 -4.5302
-6.3248 -1.7627 2.8170
0.1985 9.3605 6.3030
Tb Y Mg
6 8 2
Direct
0.6391 0.6270 0.0000
0.9767 0.6201 0.2455
0.4767 0.3799 0.2545
0.1391 0.3730 0.5000
0.4767 0.3799 0.7455
0.9767 0.6201 0.7545
0.1582 0.8722 0.0000
0.6398 0.1253 0.0000
0.9894 0.1268 0.2445
0.4894 0.8732 0.2555
0.1398 0.8747 0.5000
0.6582 0.1278 0.5000
0.4894 0.8732 0.7445
0.9894 0.1268 0.7555
0.1459 0.3744 0.0000
0.6459 0.6256 0.5000
```



No. 6
A plane-wave DFT calculation with PBE was carried out for BiHS2Cl after structural relaxation.

Results
Energy above the most stable polymorph in this dataset (eV per formula unit): 0.00
Space-group type: P4/mmm, No. 123
Size of the total moment (μB per formula unit): 0.000
Total energy (eV for the cell shown): -15.5

Cell and atoms, written as POSCAR:
```
BiHS2Cl
1.0
4.0944 0.0000 0.0000
0.0000 4.0944 0.0000
0.0000 0.0000 5.0789
H S Bi Cl
1 2 1 1
Direct
0.0000 0.0000 0.0000
0.0000 0.5000 0.0000
0.5000 0.0000 0.0000
0.5000 0.5000 0.5000
0.0000 0.0000 0.5000
```